The following is a GGA-PBE calculation of crystalline Na4Ac3ZrS8 at its relaxed geometry, from Alexandria.

```
Na4Ac3ZrS8
1.0
4.2025 2.4263 6.7503
-4.2025 2.4263 6.7503
0.0000 -4.8526 6.7503
Na Ac Zr S
4 3 1 8
direct
0.0000 0.0000 0.0000
0.0000 0.5000 0.5000
0.5000 0.0000 0.5000
0.5000 0.5000 0.0000
0.0000 0.0000 0.5000
0.0000 0.5000 0.0000
0.5000 0.0000 0.0000
0.5000 0.5000 0.5000
0.2503 0.2503 0.2503
0.2723 0.2723 0.7254
0.2723 0.7254 0.2723
0.2746 0.7277 0.7277
0.7254 0.2723 0.2723
0.7277 0.2746 0.7277
0.7277 0.7277 0.2746
0.7497 0.7497 0.7497
```

* total DFT energy (no corrections): -5.368 eV per atom
* formation energy without anion corrections: -1669 meV/atom
* M_tot: 0.66 μB/f.u.
* mass density: 4.51 g cm⁻³
* crystal system: trigonal
* space-group type: R-3m

***

The following is a GGA-PBE calculation of crystalline Na4AcSb2 at its relaxed geometry, from Alexandria.

```
Na4AcSb2
1.0
9.3139 0.0000 0.0000
0.0000 9.3139 0.0000
0.0000 0.0000 4.9675
Na Ac Sb
8 2 4
direct
0.1050 0.3440 0.0000
0.1560 0.6050 0.5000
0.3440 0.1050 0.0000
0.3950 0.8440 0.5000
0.6050 0.1560 0.5000
0.6560 0.8950 0.0000
0.8440 0.3950 0.5000
0.8950 0.6560 0.0000
0.0000 0.0000 0.5000
0.5000 0.5000 0.0000
0.1915 0.8085 0.0000
0.3085 0.3085 0.5000
0.6915 0.6915 0.5000
0.8085 0.1915 0.0000
```

* total DFT energy (no corrections): -2.987 eV per atom
* formation energy without anion corrections: -469 meV/atom
* M_tot: 0.05 μB/f.u.
* mass density: 4.33 g cm⁻³
* crystal system: tetragonal
* space-group type: P4_2/mnm

***

The following is a GGA-PBE calculation of crystalline NaAc2SbSe6 at its relaxed geometry, from Alexandria.

```
NaAc2SbSe6
1.0
7.1451 0.0000 0.0000
0.0000 7.9211 0.0000
-6.8298 0.0000 10.2164
Na Ac Sb Se
2 4 2 12
direct
0.0000 0.0000 0.0000
0.0000 0.5000 0.5000
0.2088 0.1028 0.7493
0.2088 0.3972 0.2493
0.7912 0.6028 0.7507
0.7912 0.8972 0.2507
0.5000 0.0000 0.5000
0.5000 0.5000 0.0000
0.1331 0.1722 0.4463
0.1331 0.3278 0.9463
0.2753 0.6987 0.4424
0.2753 0.8013 0.9424
0.3859 0.0357 0.2559
0.3859 0.4643 0.7559
0.6141 0.5357 0.2441
0.6141 0.9643 0.7441
0.7247 0.1987 0.0576
0.7247 0.3013 0.5576
0.8669 0.6722 0.0537
0.8669 0.8278 0.5537
```

* total DFT energy (no corrections): -4.649 eV per atom
* formation energy without anion corrections: -1192 meV/atom
* M_tot: 0.00 μB/f.u.
* mass density: 6.16 g cm⁻³
* crystal system: monoclinic
* space-group type: P2_1/c